i.
An optimized crystal structure of TmZnInSe3. Source: OQMD, functional PBE-GGA.

Total magnetic moment: 0.01 μB per cell
Crystal system: orthorhombic

The structure in POSCAR format:
```
TmZnInSe3
1.0
2.031 -7.339 0.000
2.031 7.339 0.000
0.000 0.000 10.800
Tm Zn In Se
2 2 2 6
direct
0.000 0.000 0.000 Tm
0.000 0.000 0.500 Tm
0.462 0.538 0.750 Zn
0.538 0.462 0.250 Zn
0.248 0.752 0.250 In
0.752 0.248 0.750 In
0.067 0.933 0.750 Se
0.371 0.629 0.559 Se
0.371 0.629 0.941 Se
0.629 0.371 0.059 Se
0.629 0.371 0.441 Se
0.933 0.067 0.250 Se
```


ii.
An optimized crystal structure of TmZnInSe3. Source: OQMD, functional PBE-GGA.

Total magnetic moment: 0.01 μB per cell
Crystal system: orthorhombic

The structure in POSCAR format:
```
TmZnInSe3
1.0
11.761 0.000 0.000
0.000 4.189 0.000
0.000 0.000 12.387
Tm Zn In Se
4 4 4 12
direct
0.025 0.250 0.175 Tm
0.475 0.750 0.675 Tm
0.525 0.250 0.325 Tm
0.975 0.750 0.825 Tm
0.247 0.750 0.302 Zn
0.253 0.250 0.802 Zn
0.747 0.750 0.198 Zn
0.753 0.250 0.698 Zn
0.168 0.250 0.504 In
0.332 0.750 0.004 In
0.668 0.250 0.996 In
0.832 0.750 0.496 In
0.039 0.750 0.335 Se
0.097 0.250 0.936 Se
0.230 0.750 0.691 Se
0.270 0.250 0.191 Se
0.403 0.750 0.436 Se
0.461 0.250 0.835 Se
0.539 0.750 0.165 Se
0.597 0.250 0.564 Se
0.730 0.750 0.809 Se
0.770 0.250 0.309 Se
0.903 0.750 0.064 Se
0.961 0.250 0.665 Se
```


Short version: ii is the least stable of them.